No. 1
VASP calculation (GGA-PBEsol) on Si4NiSe after structural relaxation.

Cell and atoms, written as POSCAR:
```
Si4NiSe
1.0
0.000 3.560 3.560
3.560 0.000 3.560
3.560 3.560 0.000
Si Ni Se
4 1 1
direct
0.125 0.125 0.125
0.125 0.125 0.626
0.125 0.626 0.125
0.626 0.125 0.125
0.750 0.750 0.750
0.500 0.500 0.500
```

## Properties
For the size of the total moment, the calculation gives 0.001 μB/cell. The crystal system is cubic. The raw formation energy is 559 meV/atom. For the density of states at the Fermi level, the calculation gives 4.046 states/eV/cell. The total energy is -4.940 eV per atom.

=====

No. 2
VASP calculation (GGA-PBEsol) on Ni6SnSe2 after structural relaxation.

Cell and atoms, written as POSCAR:
```
Ni6SnSe2
1.0
-1.821 1.821 9.209
1.821 -1.821 9.209
1.821 1.821 -9.209
Ni Sn Se
6 1 2
direct
0.000 0.000 0.000
0.199 0.699 0.500
0.299 0.299 0.000
0.402 0.902 0.500
0.699 0.199 0.500
0.902 0.402 0.500
0.801 0.801 0.000
0.122 0.122 0.000
0.486 0.486 0.000
```

## Properties
For the size of the total moment, the calculation gives 0.001 μB/cell. The crystal system is tetragonal. The raw formation energy is -251 meV/atom. For the density of states at the Fermi level, the calculation gives 5.405 states/eV/cell. The total energy is -5.685 eV per atom.

=====

No. 3
VASP calculation (GGA-PBEsol) on Ni3SnSe after structural relaxation.

Cell and atoms, written as POSCAR:
```
Ni3SnSe
1.0
4.581 0.000 0.000
0.000 4.581 0.000
0.000 0.000 4.581
Ni Sn Se
3 1 1
direct
0.000 0.000 0.500
0.000 0.500 0.000
0.500 0.000 0.000
0.000 0.000 0.000
0.500 0.500 0.500
```

## Properties
For the size of the total moment, the calculation gives 0.001 μB/cell. The crystal system is cubic. The raw formation energy is 1093 meV/atom. For the density of states at the Fermi level, the calculation gives 2.934 states/eV/cell. The total energy is -4.223 eV per atom.

=====

No. 4
VASP calculation (GGA-PBEsol) on Sr3NiSe after structural relaxation.

Cell and atoms, written as POSCAR:
```
Sr3NiSe
1.0
5.499 0.000 0.000
0.000 5.499 0.000
0.000 0.000 5.499
Sr Ni Se
3 1 1
direct
0.000 0.000 0.500
0.000 0.500 0.000
0.500 0.000 0.000
0.000 0.000 0.000
0.500 0.500 0.500
```

## Properties
For the size of the total moment, the calculation gives 0.000 μB/cell. The crystal system is cubic. The raw formation energy is -330 meV/atom. The calculation puts the energy above the most stable polymorph in this dataset at 0.000 eV per atom. For the density of states at the Fermi level, the calculation gives 4.176 states/eV/cell. The total energy is -3.436 eV per atom.

=====

No. 5
VASP calculation (GGA-PBEsol) on SrNiSe3 after structural relaxation.

Cell and atoms, written as POSCAR:
```
SrNiSe3
1.0
4.766 0.000 0.000
0.000 4.766 0.000
0.000 0.000 4.766
Sr Ni Se
1 1 3
direct
0.000 0.000 0.000
0.500 0.500 0.500
0.000 0.500 0.500
0.500 0.000 0.500
0.500 0.500 0.000
```

## Properties
For the size of the total moment, the calculation gives 0.000 μB/cell. The crystal system is cubic. The raw formation energy is -730 meV/atom. For the density of states at the Fermi level, the calculation gives 3.559 states/eV/cell. The total energy is -4.640 eV per atom.

=====

No. 6
VASP calculation (GGA-PBEsol) on TaNiSe2 after structural relaxation.

Cell and atoms, written as POSCAR:
```
TaNiSe2
1.0
1.646 0.951 7.936
-1.646 0.951 7.936
0.000 -1.901 7.936
Ta Ni Se
1 1 2
direct
0.000 0.000 0.000
0.500 0.500 0.500
0.406 0.406 0.406
0.594 0.594 0.594
```

## Properties
For the size of the total moment, the calculation gives 0.314 μB/cell. The crystal system is trigonal. The raw formation energy is -255 meV/atom. For the density of states at the Fermi level, the calculation gives 3.727 states/eV/cell. The total energy is -6.857 eV per atom.

=====

Q: The lowest raw formation energy belongs to which entry?
A: SrNiSe3